# 1
KTl12Hg7 after structural relaxation. Source: Alexandria via LeMat-Bulk, functional PBE-GGA.

Properties
- Calculated volume: 1891 Å³/cell
- Fermi-level density of states: 0.4917 states/eV per atom
- Polymorph energy (0 for the lowest one): 4.36 kJ/mol of atoms
- E_form: 0.03 eV per atom

a = 12.7010 Å, b = 12.7010 Å, c = 13.5359 Å
α = 90.00°, β = 90.00°, γ = 120.00°
Space group R-3 (No. 148, hexagonal axes)
Asymmetric unit:
K1 0.0000 0.0000 0.0000 (multiplicity 3)
Tl1 0.0277 0.5866 0.7200 (multiplicity 18)
Tl2 0.0569 0.2315 0.3946 (multiplicity 18)
Hg1 0.0000 0.0000 0.5000 (multiplicity 3)
Hg2 0.0815 0.8938 0.8026 (multiplicity 18)

=====

# 2
K2Tl5Hg12 after structural relaxation. Source: Alexandria via LeMat-Bulk, functional PBE-GGA.

Properties
- Calculated volume: 1724 Å³/cell
- Fermi-level density of states: 0.4121 states/eV per atom
- E_form: -0.08 eV per atom

a = 10.5408 Å, b = 10.5408 Å, c = 17.9204 Å
α = 90.00°, β = 90.00°, γ = 120.00°
Space group R-3m (No. 166, hexagonal axes)
Asymmetric unit:
K1 0.0000 0.0000 0.1799 (multiplicity 6)
Tl1 0.0000 0.0000 0.4053 (multiplicity 6)
Tl2 0.0000 0.5000 0.0000 (multiplicity 9)
Hg1 0.0000 0.2981 0.5000 (multiplicity 18)
Hg2 0.0400 0.5200 0.6272 (multiplicity 18)